LiSb2Au: relaxed, PBE-GGA.

a = 3.0701 Å, b = 4.1985 Å, c = 7.1207 Å
α = 90.00°, β = 90.00°, γ = 90.00°
Atoms (fractional coordinates):
Li 0.0000 0.5000 0.1926
Sb 0.5000 0.0000 0.4313
Sb 0.5000 0.5000 0.7808
Au 0.5000 0.0000 0.0412

- Energy above the lowest structure with this stoichiometry: 0 meV per atom
- Formation energy from raw total energies: -0.242 eV/atom
- DFT total energy: -3.601 eV/atom
- Spin magnetization: 0.000 μB/atom